<a>
Here is an optimized crystal structure of RbRhW2 from Alexandria. Energies are from PBE.

The calculation puts the total magnetic moment at 0.00 μB per formula unit. Its space group is Fm-3m, No. 225.

extended XYZ file:
```
4
Lattice="0.0000 3.2708 3.2708 3.2708 0.0000 3.2708 3.2708 3.2708 0.0000" Properties=species:S:1:pos:R:3 pbc="T T T"
Rb 0.0000 0.0000 0.0000
Rh 3.2708 3.2708 3.2708
W 1.6354 1.6354 1.6354
W 4.9063 4.9063 4.9063
```

---

<b>
Here is an optimized crystal structure of RbRhW2 from Alexandria. Energies are from PBE.

The calculation puts the total magnetic moment at 0.00 μB per formula unit. Its space group is I-42d, No. 122.

extended XYZ file:
```
8
Lattice="-2.4854 2.4854 8.8488 2.4854 -2.4854 8.8488 2.4854 2.4854 -8.8488" Properties=species:S:1:pos:R:3 pbc="T T T"
Rb 0.0000 0.0000 0.0000
Rb 0.0000 2.4854 4.4244
Rh 2.4854 0.0000 4.4244
Rh 0.0000 0.0000 8.8488
W 1.2427 -0.2758 6.6366
W 2.2096 1.2427 2.2122
W 1.2427 2.7613 -2.2122
W 0.2758 1.2427 11.0610
```

---

Stability ranking, top and bottom: <b> is the most stable and <a> is the least stable.

---

<a>
Here is an optimized crystal structure of Rb2ZrRh from Alexandria. Energies are from PBE.

The calculation puts the total magnetic moment at 2.69 μB per formula unit. Its space group is Fm-3m, No. 225.

extended XYZ file:
```
4
Lattice="0.0000 4.0137 4.0137 4.0137 0.0000 4.0137 4.0137 4.0137 0.0000" Properties=species:S:1:pos:R:3 pbc="T T T"
Rb 2.0069 2.0069 2.0069
Rb 6.0206 6.0206 6.0206
Zr 0.0000 0.0000 0.0000
Rh 4.0137 4.0137 4.0137
```

---

<b>
Here is an optimized crystal structure of Rb2ZrRh from Alexandria. Energies are from PBE.

The calculation puts the total magnetic moment at 0.00 μB per formula unit. Its space group is I-42d, No. 122.

extended XYZ file:
```
8
Lattice="-6.7010 6.7010 2.3917 6.7010 -6.7010 2.3917 6.7010 6.7010 -2.3917" Properties=species:S:1:pos:R:3 pbc="T T T"
Rb -1.2060 3.3505 0.5979
Rb 3.3505 5.4950 1.7938
Rb 1.2060 10.0515 0.5979
Rb -3.3505 7.9069 1.7938
Zr 6.7010 0.0000 1.1959
Zr 0.0000 0.0000 2.3917
Rh 0.0000 0.0000 0.0000
Rh 0.0000 6.7010 1.1959
```

---

Stability ranking, top and bottom: <b> is the most stable and <a> is the least stable.

---

<a>
Here is an optimized crystal structure of RbZr3Rh from Alexandria. Energies are from PBE.

The calculation puts the total magnetic moment at 0.00 μB per formula unit. Its space group is Pm-3m, No. 221.

extended XYZ file:
```
5
Lattice="5.2199 0.0000 0.0000 0.0000 5.2199 0.0000 0.0000 0.0000 5.2199" Properties=species:S:1:pos:R:3 pbc="T T T"
Rb 0.0000 0.0000 0.0000
Zr 0.0000 2.6100 2.6100
Zr 2.6100 0.0000 2.6100
Zr 2.6100 2.6100 0.0000
Rh 2.6100 2.6100 2.6100
```

---

<b>
Here is an optimized crystal structure of RbZr3Rh from Alexandria. Energies are from PBE.

The calculation puts the total magnetic moment at 0.00 μB per formula unit. Its space group is Pm-3m, No. 221.

extended XYZ file:
```
5
Lattice="4.9409 0.0000 0.0000 0.0000 4.9409 0.0000 0.0000 0.0000 4.9409" Properties=species:S:1:pos:R:3 pbc="T T T"
Rb 0.0000 0.0000 0.0000
Zr 0.0000 0.0000 2.4705
Zr 0.0000 2.4705 0.0000
Zr 2.4705 0.0000 0.0000
Rh 2.4705 2.4705 2.4705
```

---

Stability ranking, top and bottom: <a> is the most stable and <b> is the least stable.

---

<a>
Here is an optimized crystal structure of RbRu3S from Alexandria. Energies are from PBE.

The calculation puts the total magnetic moment at 0.28 μB per formula unit. Its space group is Pm-3m, No. 221.

extended XYZ file:
```
5
Lattice="4.5315 0.0000 0.0000 0.0000 4.5315 0.0000 0.0000 0.0000 4.5315" Properties=species:S:1:pos:R:3 pbc="T T T"
Rb 0.0000 0.0000 0.0000
Ru 0.0000 2.2658 2.2658
Ru 2.2658 0.0000 2.2658
Ru 2.2658 2.2658 0.0000
S 2.2658 2.2658 2.2658
```

---

<b>
Here is an optimized crystal structure of RbRu3S from Alexandria. Energies are from PBE.

The calculation puts the total magnetic moment at 7.18 μB per formula unit. Its space group is Pm-3m, No. 221.

extended XYZ file:
```
5
Lattice="4.9225 0.0000 0.0000 0.0000 4.9225 0.0000 0.0000 0.0000 4.9225" Properties=species:S:1:pos:R:3 pbc="T T T"
Rb 0.0000 0.0000 0.0000
Ru 0.0000 0.0000 2.4612
Ru 0.0000 2.4612 0.0000
Ru 2.4612 0.0000 0.0000
S 2.4612 2.4612 2.4612
```

---

Stability ranking, top and bottom: <a> is the most stable and <b> is the least stable.

---

<a>
Here is an optimized crystal structure of RbSb2Ru from Alexandria. Energies are from PBE.

The calculation puts the total magnetic moment at 0.00 μB per formula unit. Its space group is Fm-3m, No. 225.

extended XYZ file:
```
4
Lattice="0.0000 3.6033 3.6033 3.6033 0.0000 3.6033 3.6033 3.6033 0.0000" Properties=species:S:1:pos:R:3 pbc="T T T"
Rb 0.0000 0.0000 0.0000
Sb 1.8016 1.8016 1.8016
Sb 5.4049 5.4049 5.4049
Ru 3.6033 3.6033 3.6033
```

---

<b>
Here is an optimized crystal structure of RbSb2Ru from Alexandria. Energies are from PBE.

The calculation puts the total magnetic moment at 0.00 μB per formula unit. Its space group is I-42d, No. 122.

extended XYZ file:
```
8
Lattice="-3.9102 3.9102 5.0730 3.9102 -3.9102 5.0730 3.9102 3.9102 -5.0730" Properties=species:S:1:pos:R:3 pbc="T T T"
Rb 0.0000 0.0000 0.0000
Rb 0.0000 3.9102 2.5365
Sb 1.9551 -0.9348 3.8047
Sb 2.9754 1.9551 1.2682
Sb 1.9551 4.8450 -1.2682
Sb 0.9348 1.9551 6.3412
Ru 3.9102 0.0000 2.5365
Ru 0.0000 0.0000 5.0730
```

---

Stability ranking, top and bottom: <b> is the most stable and <a> is the least stable.

---

<a>
Here is an optimized crystal structure of RbSbTe2Ru from Alexandria. Energies are from PBE.

The calculation puts the total magnetic moment at 3.17 μB per formula unit. Its space group is P4/mmm, No. 123.

extended XYZ file:
```
5
Lattice="6.1167 0.0000 0.0000 0.0000 6.1167 0.0000 0.0000 0.0000 5.9055" Properties=species:S:1:pos:R:3 pbc="T T T"
Rb 0.0000 0.0000 0.0000
Sb 0.0000 0.0000 2.9527
Te 0.0000 3.0583 0.0000
Te 3.0583 0.0000 0.0000
Ru 3.0583 3.0583 2.9527
```

---

<b>
Here is an optimized crystal structure of RbSbTe2Ru from Alexandria. Energies are from PBE.

The calculation puts the total magnetic moment at 1.18 μB per formula unit. Its space group is P4/mmm, No. 123.

extended XYZ file:
```
5
Lattice="5.6133 0.0000 0.0000 0.0000 5.6133 0.0000 0.0000 0.0000 5.0337" Properties=species:S:1:pos:R:3 pbc="T T T"
Rb 0.0000 0.0000 0.0000
Sb 2.8067 2.8067 0.0000
Te 0.0000 2.8067 2.5168
Te 2.8067 0.0000 2.5168
Ru 2.8067 2.8067 2.5168
```

---

Stability ranking, top and bottom: <b> is the most stable and <a> is the least stable.

---

<a>
Here is an optimized crystal structure of Rb2Ru2Se from Alexandria. Energies are from PBE.

The calculation puts the total magnetic moment at 3.17 μB per formula unit. Its space group is I4/mmm, No. 139.

extended XYZ file:
```
5
Lattice="-3.4751 3.4751 3.5804 3.4751 -3.4751 3.5804 3.4751 3.4751 -3.5804" Properties=species:S:1:pos:R:3 pbc="T T T"
Rb 3.4751 0.0000 1.7902
Rb 0.0000 3.4751 1.7902
Ru 0.0000 0.0000 1.1124
Ru 0.0000 0.0000 6.0484
Se 0.0000 0.0000 3.5804
```

---

<b>
Here is an optimized crystal structure of Rb2Ru2Se from Alexandria. Energies are from PBE.

The calculation puts the total magnetic moment at 0.00 μB per formula unit. Its space group is P4/mbm, No. 127.

extended XYZ file:
```
10
Lattice="6.3828 0.0000 0.0000 0.0000 6.3828 0.0000 0.0000 0.0000 5.9094" Properties=species:S:1:pos:R:3 pbc="T T T"
Rb 1.1513 2.0401 0.0000
Rb 2.0401 5.2314 0.0000
Rb 4.3427 1.1513 0.0000
Rb 5.2314 4.3427 0.0000
Ru 0.8713 4.0627 2.9547
Ru 2.3201 0.8713 2.9547
Ru 4.0627 5.5115 2.9547
Ru 5.5115 2.3201 2.9547
Se 0.0000 0.0000 2.9547
Se 3.1914 3.1914 2.9547
```

---

Stability ranking, top and bottom: <b> is the most stable and <a> is the least stable.